VASP calculation (PBE-GGA) on NdDy6Pu after structural relaxation.

Cell: 5.6896 7.1590 7.1590 Å, 119.92 90.00 90.00°
Site moments in Bohr magnetons follow the coordinates.
Sites, in units of the cell vectors:
Dy: 0.0000 0.3335 0.6665  -0.05
Dy: 0.0000 0.8294 0.6601  0.10
Dy: 0.5000 0.6666 0.8323  0.10
Dy: 0.0000 0.8309 0.1691  0.12
Dy: 0.0000 0.3399 0.1706  0.10
Dy: 0.5000 0.1677 0.3334  0.10
Pu: 0.5000 0.6663 0.3337  5.52
Nd: 0.5000 0.1657 0.8343  0.05

Computed properties:
* V: 252.7 Å³/f.u.
* symmetry: Amm2, No. 38
* energy of formation from the pure elements: 70 meV per atom


VASP calculation (PBE-GGA) on Nd8Dy5Pu after structural relaxation.

Cell: 8.7099 8.6073 8.7099 Å, 97.19 118.49 113.84°
Site moments in Bohr magnetons follow the coordinates.
Sites, in units of the cell vectors:
Nd: 0.1619 0.7048 0.5266  0.01
Nd: 0.5504 0.6452 0.2611  0.06
Nd: 0.0772 0.6760 0.9051  0.02
Nd: 0.5870 0.9671 0.0169  0.04
Nd: 0.6159 0.3548 0.9052  0.06
Nd: 0.8218 0.2952 0.4571  0.01
Nd: 0.0498 0.0329 0.6199  0.04
Nd: 0.2291 0.3240 0.4012  0.02
Pu: 0.3136 0.5000 0.8136  5.53
Dy: 0.4584 0.0000 0.4584  -0.06
Dy: 0.3159 0.1464 0.0915  -0.05
Dy: 0.9567 0.2431 0.9101  0.04
Dy: 0.6670 0.7569 0.7137  0.04
Dy: 0.9451 0.8536 0.1695  -0.05

Computed properties:
* V: 482.2 Å³/f.u.
* symmetry: C2, No. 5
* energy of formation from the pure elements: 216 meV per atom


VASP calculation (PBE-GGA) on NdDy2Pu after structural relaxation.

Cell: 3.5278 3.5278 10.0655 Å, 90.00 90.00 90.00°
Site moments in Bohr magnetons follow the coordinates.
Sites, in units of the cell vectors:
Dy: 0.0000 0.0000 0.7608  0.17
Dy: 0.0000 0.0000 0.2392  0.17
Nd: 0.5000 0.5000 0.5000  -0.01
Pu: 0.5000 0.5000 0.0000  5.58

Computed properties:
* V: 125.3 Å³/f.u.
* symmetry: P4/mmm, No. 123
* ΔE to the lowest computed polymorph: 0.000 eV per atom
* energy of formation from the pure elements: 103 meV per atom